Entry P
# ZrBAs PBE-GGA optimized geometry
# Density of states at the Fermi level (states/eV/f.u.): 1.2
# ρ (Mg/m³): 5.8
# Magnetic moment (μB/cell): 0.00
data_ZrBAs
_chemical_formula_sum 'Zr4 B4 As4'
_space_group_name_H-M_alt 'C 1 2/m 1'
_space_group_IT_number 12
_cell_length_a 4.922
_cell_length_b 5.174
_cell_length_c 8.119
_cell_angle_alpha 90.00
_cell_angle_beta 99.25
_cell_angle_gamma 90.00
loop_
_space_group_symop_operation_xyz
'x,y,z'
'-x,-y,-z'
'-x,y,-z'
'x,-y,z'
'x+1/2,y+1/2,z'
'-x+1/2,-y+1/2,-z'
'-x+1/2,y+1/2,-z'
'x+1/2,-y+1/2,z'
loop_
_atom_site_label
_atom_site_fract_x
_atom_site_fract_y
_atom_site_fract_z
_atom_site_occupancy
Zr1 0.167 0.000 0.178 1
B1 0.141 0.500 0.074 1
As1 0.207 0.500 0.335 1

Entry Q
# ZrBAs PBE-GGA optimized geometry
# Density of states at the Fermi level (states/eV/f.u.): 0.7
# ρ (Mg/m³): 6.5
# Magnetic moment (μB/cell): 0.00
data_ZrBAs
_chemical_formula_sum 'Zr4 B4 As4'
_space_group_name_H-M_alt 'C m c m'
_space_group_IT_number 63
_space_group_name_Hall '-C 2c 2'
_cell_length_a 3.622
_cell_length_b 14.942
_cell_length_c 3.353
_cell_angle_alpha 90.00
_cell_angle_beta 90.00
_cell_angle_gamma 90.00
loop_
_atom_site_label
_atom_site_fract_x
_atom_site_fract_y
_atom_site_fract_z
_atom_site_occupancy
Zr1 0.000 0.093 0.250 1
B1 0.000 0.474 0.250 1
As1 0.000 0.324 0.250 1

Entry R
# ZrBAs PBE-GGA optimized geometry
# Density of states at the Fermi level (states/eV/f.u.): 1.1
# ρ (Mg/m³): 6.0
# Magnetic moment (μB/cell): 0.00
data_ZrBAs
_chemical_formula_sum 'Zr2 B2 As2'
_space_group_name_H-M_alt 'P -1'
_space_group_IT_number 2
_cell_length_a 3.172
_cell_length_b 5.467
_cell_length_c 5.849
_cell_angle_alpha 87.92
_cell_angle_beta 89.52
_cell_angle_gamma 73.45
loop_
_space_group_symop_operation_xyz
'x,y,z'
'-x,-y,-z'
loop_
_atom_site_label
_atom_site_fract_x
_atom_site_fract_y
_atom_site_fract_z
_atom_site_occupancy
Zr1 0.136 0.244 0.192 1
B1 0.285 0.929 0.503 1
As1 0.405 0.691 0.218 1

Which one sits at the top of the stability order? entry Q does.

Entry P
# ZrBAs PBE-GGA optimized geometry
# Density of states at the Fermi level (states/eV/f.u.): 0.9
# ρ (Mg/m³): 5.8
# Magnetic moment (μB/cell): 0.00
data_ZrBAs
_chemical_formula_sum 'Zr4 B4 As4'
_space_group_name_H-M_alt 'I m m 2'
_space_group_IT_number 44
_cell_length_a 3.359
_cell_length_b 3.771
_cell_length_c 15.987
_cell_angle_alpha 90.00
_cell_angle_beta 90.00
_cell_angle_gamma 90.00
loop_
_space_group_symop_operation_xyz
'x,y,z'
'-x,-y,z'
'-x,y,z'
'x,-y,z'
'x+1/2,y+1/2,z+1/2'
'-x+1/2,-y+1/2,z+1/2'
'-x+1/2,y+1/2,z+1/2'
'x+1/2,-y+1/2,z+1/2'
loop_
_atom_site_label
_atom_site_fract_x
_atom_site_fract_y
_atom_site_fract_z
_atom_site_occupancy
Zr1 0.000 0.000 0.000 1
Zr2 0.000 0.500 0.206 1
B1 0.000 0.000 0.442 1
B2 0.000 0.500 0.903 1
As1 0.000 0.000 0.578 1
As2 0.000 0.500 0.773 1

Entry Q
# ZrBAs PBE-GGA optimized geometry
# Density of states at the Fermi level (states/eV/f.u.): 1.0
# ρ (Mg/m³): 5.7
# Magnetic moment (μB/cell): 0.00
data_ZrBAs
_chemical_formula_sum 'Zr2 B2 As2'
_space_group_name_H-M_alt 'P 1 21/m 1'
_space_group_IT_number 11
_cell_length_a 3.628
_cell_length_b 3.360
_cell_length_c 8.475
_cell_angle_alpha 90.00
_cell_angle_beta 90.27
_cell_angle_gamma 90.00
loop_
_space_group_symop_operation_xyz
'x,y,z'
'-x,-y,-z'
'-x,y+1/2,-z'
'x,-y+1/2,z'
loop_
_atom_site_label
_atom_site_fract_x
_atom_site_fract_y
_atom_site_fract_z
_atom_site_occupancy
Zr1 0.002 0.250 0.161 1
B1 0.499 0.250 0.951 1
As1 0.497 0.250 0.691 1

Which one sits at the top of the stability order? entry Q does.

Entry P
# ZrBAs PBE-GGA optimized geometry
# Density of states at the Fermi level (states/eV/f.u.): 0.6
# ρ (Mg/m³): 6.0
# Magnetic moment (μB/cell): 0.00
data_ZrBAs
_chemical_formula_sum 'Zr4 B4 As4'
_space_group_name_H-M_alt 'C 1 m 1'
_space_group_IT_number 8
_cell_length_a 13.636
_cell_length_b 3.228
_cell_length_c 4.470
_cell_angle_alpha 90.00
_cell_angle_beta 92.69
_cell_angle_gamma 90.00
loop_
_space_group_symop_operation_xyz
'x,y,z'
'x,-y,z'
'x+1/2,y+1/2,z'
'x+1/2,-y+1/2,z'
loop_
_atom_site_label
_atom_site_fract_x
_atom_site_fract_y
_atom_site_fract_z
_atom_site_occupancy
Zr1 0.000 0.000 0.000 1
Zr2 0.202 0.500 0.328 1
B1 0.128 0.500 0.803 1
B2 0.179 0.000 0.817 1
As1 0.008 0.500 0.488 1
As2 0.326 0.000 0.989 1

Entry Q
# ZrBAs PBE-GGA optimized geometry
# Density of states at the Fermi level (states/eV/f.u.): 0.9
# ρ (Mg/m³): 6.1
# Magnetic moment (μB/cell): 0.00
data_ZrBAs
_chemical_formula_sum 'Zr4 B4 As4'
_space_group_name_H-M_alt 'C 1 m 1'
_space_group_IT_number 8
_cell_length_a 8.257
_cell_length_b 3.284
_cell_length_c 7.217
_cell_angle_alpha 90.00
_cell_angle_beta 97.79
_cell_angle_gamma 90.00
loop_
_space_group_symop_operation_xyz
'x,y,z'
'x,-y,z'
'x+1/2,y+1/2,z'
'x+1/2,-y+1/2,z'
loop_
_atom_site_label
_atom_site_fract_x
_atom_site_fract_y
_atom_site_fract_z
_atom_site_occupancy
Zr1 0.000 0.000 0.000 1
Zr2 0.073 0.000 0.480 1
B1 0.311 0.500 0.596 1
B2 0.364 0.000 0.531 1
As1 0.174 0.500 0.812 1
As2 0.339 0.000 0.229 1

Entry R
# ZrBAs PBE-GGA optimized geometry
# Density of states at the Fermi level (states/eV/f.u.): 1.1
# ρ (Mg/m³): 6.6
# Magnetic moment (μB/cell): 0.00
data_ZrBAs
_chemical_formula_sum 'Zr2 B2 As2'
_space_group_name_H-M_alt 'P -3 m 1'
_space_group_IT_number 164
_space_group_name_Hall '-P 3 2"'
_cell_length_a 3.2720
_cell_length_b 3.2720
_cell_length_c 9.5573
_cell_angle_alpha 90.00
_cell_angle_beta 90.00
_cell_angle_gamma 120.00
loop_
_atom_site_label
_atom_site_fract_x
_atom_site_fract_y
_atom_site_fract_z
_atom_site_occupancy
Zr1 0.0000 0.0000 0.1784 1
B1 0.3333 0.6667 0.9981 1
As1 0.3333 0.6667 0.3994 1

Entry S
# ZrBAs PBE-GGA optimized geometry
# Density of states at the Fermi level (states/eV/f.u.): 1.3
# ρ (Mg/m³): 6.2
# Magnetic moment (μB/cell): 0.00
data_ZrBAs
_chemical_formula_sum 'Zr4 B4 As4'
_space_group_name_H-M_alt 'C 1 2/m 1'
_space_group_IT_number 12
_cell_length_a 12.629
_cell_length_b 3.585
_cell_length_c 4.461
_cell_angle_alpha 90.00
_cell_angle_beta 110.39
_cell_angle_gamma 90.00
loop_
_space_group_symop_operation_xyz
'x,y,z'
'-x,-y,-z'
'-x,y,-z'
'x,-y,z'
'x+1/2,y+1/2,z'
'-x+1/2,-y+1/2,-z'
'-x+1/2,y+1/2,-z'
'x+1/2,-y+1/2,z'
loop_
_atom_site_label
_atom_site_fract_x
_atom_site_fract_y
_atom_site_fract_z
_atom_site_occupancy
Zr1 0.139 0.000 0.138 1
B1 0.000 0.500 0.180 1
As1 0.133 0.500 0.633 1

Which one sits at the top of the stability order? entry R does.

Entry P
# ZrBAs PBE-GGA optimized geometry
# Density of states at the Fermi level (states/eV/f.u.): 1.5
# ρ (Mg/m³): 5.8
# Magnetic moment (μB/cell): 0.00
data_ZrBAs
_chemical_formula_sum 'Zr2 B2 As2'
_space_group_name_H-M_alt 'P 1 m 1'
_space_group_IT_number 6
_cell_length_a 4.420
_cell_length_b 3.189
_cell_length_c 7.225
_cell_angle_alpha 90.00
_cell_angle_beta 95.19
_cell_angle_gamma 90.00
loop_
_space_group_symop_operation_xyz
'x,y,z'
'x,-y,z'
loop_
_atom_site_label
_atom_site_fract_x
_atom_site_fract_y
_atom_site_fract_z
_atom_site_occupancy
Zr1 0.000 0.000 0.000 1
Zr2 0.357 0.500 0.368 1
B1 0.524 0.500 0.039 1
B2 0.539 0.000 0.141 1
As1 0.326 0.500 0.760 1
As2 0.864 0.000 0.390 1

Entry Q
# ZrBAs PBE-GGA optimized geometry
# Density of states at the Fermi level (states/eV/f.u.): 1.1
# ρ (Mg/m³): 6.1
# Magnetic moment (μB/cell): 0.00
data_ZrBAs
_chemical_formula_sum 'Zr2 B2 As2'
_space_group_name_H-M_alt 'P 1 21/m 1'
_space_group_IT_number 11
_cell_length_a 4.616
_cell_length_b 3.136
_cell_length_c 6.719
_cell_angle_alpha 90.00
_cell_angle_beta 97.46
_cell_angle_gamma 90.00
loop_
_space_group_symop_operation_xyz
'x,y,z'
'-x,-y,-z'
'-x,y+1/2,-z'
'x,-y+1/2,z'
loop_
_atom_site_label
_atom_site_fract_x
_atom_site_fract_y
_atom_site_fract_z
_atom_site_occupancy
Zr1 0.201 0.250 0.321 1
B1 0.023 0.250 0.954 1
As1 0.320 0.250 0.742 1

Which one sits at the top of the stability order? entry Q does.